(1)
Density functional theory data (PBE) for crystalline Ta3NbOs at its relaxed geometry.

Lattice parameters (Å, degrees): 2.885 6.996 9.147 108.77 90.45 97.41
Atoms (fractional coordinates):
Ta: 0.005 0.498 0.247
Ta: 0.404 0.701 0.555
Ta: 0.410 0.712 0.049
Ta: 0.590 0.288 0.951
Ta: 0.596 0.299 0.445
Ta: 0.995 0.502 0.753
Nb: 0.192 0.098 0.652
Nb: 0.808 0.902 0.348
Os: 0.208 0.105 0.152
Os: 0.792 0.895 0.848

Calculated values
- total energy (eV/atom) = -11.501
- energy above the lowest structure with this stoichiometry (eV per atom) = 0.000

(2)
Density functional theory data (PBE) for crystalline Ta5Nb2Os at its relaxed geometry.

Lattice parameters (Å, degrees): 5.556 10.962 4.663 90.00 90.00 90.00
Atoms (fractional coordinates):
Ta: 0.000 0.000 0.000
Ta: 0.140 0.255 0.000
Ta: 0.160 0.613 0.500
Ta: 0.340 0.113 0.500
Ta: 0.360 0.755 0.000
Ta: 0.500 0.500 0.000
Ta: 0.640 0.245 0.000
Ta: 0.660 0.887 0.500
Ta: 0.840 0.387 0.500
Ta: 0.860 0.745 0.000
Nb: 0.162 0.872 0.500
Nb: 0.338 0.372 0.500
Nb: 0.662 0.628 0.500
Nb: 0.838 0.128 0.500
Os: 0.000 0.500 0.000
Os: 0.500 0.000 0.000

Calculated values
- total energy (eV/atom) = -11.427

(3)
Density functional theory data (PBE) for crystalline Ta2Nb2Os at its relaxed geometry.

Lattice parameters (Å, degrees): 7.800 7.800 7.800 153.23 153.23 38.21
Atoms (fractional coordinates):
Ta: 0.250 0.750 0.500
Ta: 0.750 0.250 0.500
Nb: 0.087 0.087 0.000
Nb: 0.913 0.913 0.000
Os: 0.500 0.500 0.000

Calculated values
- total energy (eV/atom) = -10.081
- energy above the lowest structure with this stoichiometry (eV per atom) = 1.155

(4)
Density functional theory data (PBE) for crystalline Ta2Nb2Os at its relaxed geometry.

Lattice parameters (Å, degrees): 5.403 5.403 7.241 131.77 131.77 34.80
Atoms (fractional coordinates):
Ta: 0.098 0.098 0.302
Ta: 0.902 0.902 0.698
Nb: 0.295 0.295 0.895
Nb: 0.705 0.705 0.105
Os: 0.500 0.500 0.500

Calculated values
- total energy (eV/atom) = -11.236
- energy above the lowest structure with this stoichiometry (eV per atom) = 0.000

(5)
Density functional theory data (PBE) for crystalline Ta3NbOs at its relaxed geometry.

Lattice parameters (Å, degrees): 4.744 4.744 4.744 90.00 90.00 90.00
Atoms (fractional coordinates):
Ta: 0.000 0.000 0.500
Ta: 0.000 0.500 0.000
Ta: 0.500 0.000 0.000
Nb: 0.000 0.000 0.000
Os: 0.500 0.500 0.500

Calculated values
- total energy (eV/atom) = -9.302
- energy above the lowest structure with this stoichiometry (eV per atom) = 2.200

(6)
Density functional theory data (PBE) for crystalline TaNb2Os at its relaxed geometry.

Lattice parameters (Å, degrees): 4.592 4.592 3.232 90.00 90.00 90.00
Atoms (fractional coordinates):
Ta: 0.000 0.000 0.000
Nb: 0.000 0.500 0.500
Nb: 0.500 0.000 0.500
Os: 0.500 0.500 0.000

Calculated values
- total energy (eV/atom) = -11.027
- energy above the lowest structure with this stoichiometry (eV per atom) = 0.065